Record 1
The following is a PBE calculation of Pr2SmTh3P6 after structural relaxation, from Alexandria.

Results
Size of the total moment in μB per formula unit: 0.0
Fermi-level density of states in states/eV/cell: 5.241
Energy in eV/atom: -7.313
Energy of formation from the pure elements in eV per formula unit: -18.8
Space group: C2/m, No. 12
Crystal system: monoclinic

Structure (CIF):
```
data_Pr2SmTh3P6
_space_group_name_H-M_alt 'P 1'
_space_group_IT_number 1
_space_group_name_Hall 'P 1'
_cell_length_a 7.205
_cell_length_b 7.205
_cell_length_c 7.189
_cell_angle_alpha 99.64
_cell_angle_beta 99.64
_cell_angle_gamma 119.92
loop_
_atom_site_label
_atom_site_type_symbol
_atom_site_fract_x
_atom_site_fract_y
_atom_site_fract_z
Pr1 Pr 0.166 0.834 0.000
Pr2 Pr 0.834 0.166 0.000
Sm1 Sm 0.500 0.500 0.000
Th1 Th 0.000 0.000 0.500
Th2 Th 0.333 0.667 0.500
Th3 Th 0.667 0.333 0.500
P1 P 0.085 0.415 0.745
P2 P 0.255 0.255 0.255
P3 P 0.415 0.085 0.745
P4 P 0.585 0.915 0.255
P5 P 0.745 0.745 0.745
P6 P 0.915 0.585 0.255
```

---

Record 2
The following is a PBE calculation of Pr2SmThP4 after structural relaxation, from Alexandria.

Results
Size of the total moment in μB per formula unit: 0.0
Fermi-level density of states in states/eV/cell: 1.541
Energy in eV/atom: -6.986
Energy of formation from the pure elements in eV per formula unit: -12.5
Space group: P2/m, No. 10
Crystal system: monoclinic

Structure (CIF):
```
data_Pr2SmThP4
_space_group_name_H-M_alt 'P 1'
_space_group_IT_number 1
_space_group_name_Hall 'P 1'
_cell_length_a 7.203
_cell_length_b 4.167
_cell_length_c 7.218
_cell_angle_alpha 90.00
_cell_angle_beta 109.42
_cell_angle_gamma 90.00
loop_
_atom_site_label
_atom_site_type_symbol
_atom_site_fract_x
_atom_site_fract_y
_atom_site_fract_z
Pr1 Pr 0.000 0.000 0.000
Pr2 Pr 0.500 0.500 0.000
Sm1 Sm 0.000 0.500 0.500
Th1 Th 0.500 0.000 0.500
P1 P 0.249 0.000 0.743
P2 P 0.253 0.500 0.257
P3 P 0.747 0.500 0.743
P4 P 0.751 0.000 0.257
```

---

Record 3
The following is a PBE calculation of Pr4SmTh3P8 after structural relaxation, from Alexandria.

Results
Size of the total moment in μB per formula unit: 0.0
Fermi-level density of states in states/eV/cell: 5.356
Energy in eV/atom: -7.150
Energy of formation from the pure elements in eV per formula unit: -25.0
Space group: R-3m, No. 166
Crystal system: trigonal

Structure (CIF):
```
data_Pr4SmTh3P8
_space_group_name_H-M_alt 'P 1'
_space_group_IT_number 1
_space_group_name_Hall 'P 1'
_cell_length_a 8.341
_cell_length_b 8.341
_cell_length_c 8.341
_cell_angle_alpha 59.97
_cell_angle_beta 59.97
_cell_angle_gamma 59.97
loop_
_atom_site_label
_atom_site_type_symbol
_atom_site_fract_x
_atom_site_fract_y
_atom_site_fract_z
Pr1 Pr 0.000 0.000 0.000
Pr2 Pr 0.000 0.500 0.500
Pr3 Pr 0.500 0.000 0.500
Pr4 Pr 0.500 0.500 0.000
Sm1 Sm 0.500 0.500 0.500
Th1 Th 0.000 0.000 0.500
Th2 Th 0.000 0.500 0.000
Th3 Th 0.500 0.000 0.000
P1 P 0.247 0.748 0.748
P2 P 0.248 0.248 0.248
P3 P 0.252 0.252 0.753
P4 P 0.252 0.753 0.252
P5 P 0.748 0.247 0.748
P6 P 0.748 0.748 0.247
P7 P 0.752 0.752 0.752
P8 P 0.753 0.252 0.252
```